HfCr2Cu: relaxed, GGA-PBE.

Cell lengths 6.1913, 6.1913, 6.1913 Å; angles 90.00, 90.00, 90.00 degrees
Space group Fm-3m (No. 225)
Asymmetric unit:
Hf  0.0000  0.0000  0.0000 (multiplicity 4)
Cr  0.2500  0.2500  0.2500 (multiplicity 8)
Cu  0.0000  0.0000  0.5000 (multiplicity 4)

Output
**Electronic total energy**: -7.866 eV per atom

---

HfCrCu2: relaxed, GGA-PBE.

Cell lengths 6.2548, 6.2548, 6.2548 Å; angles 90.00, 90.00, 90.00 degrees
Space group Fm-3m (No. 225)
Asymmetric unit:
Hf  0.0000  0.0000  0.0000 (multiplicity 4)
Cr  0.0000  0.0000  0.5000 (multiplicity 4)
Cu  0.2500  0.2500  0.2500 (multiplicity 8)

Output
**Energy above the most stable polymorph in this dataset**: 0 meV per atom

---

HfCrCu: relaxed, GGA-PBE.

Cell lengths 5.0237, 2.9112, 13.1410 Å; angles 90.00, 97.71, 90.00 degrees
Space group C2/m (No. 12)
Asymmetric unit:
Hf  0.1330  0.0000  0.3910 (multiplicity 4)
Cr  0.1862  0.5000  0.0573 (multiplicity 4)
Cu  0.0932  0.5000  0.7857 (multiplicity 4)

Output
**Electronic total energy**: -7.551 eV per atom

---

Number 1: size of the total moment 1.1895 μB/atom. Number 2: size of the total moment 0.9806 μB/atom. Number 3: size of the total moment 0.0000 μB/atom.